A plane-wave DFT calculation with GGA-PBE was carried out for an optimized crystal structure of Ac12Rh5Se3.

a = 15.642 Å, b = 15.642 Å, c = 15.642 Å
α = 109.47°, β = 109.47°, γ = 109.47°
Element x y z (fractional)
1 Ac 0.034 0.209 0.123
2 Ac 0.034 0.325 0.911
3 Ac 0.086 0.709 0.675
4 Ac 0.086 0.877 0.411
5 Ac 0.089 0.623 0.414
6 Ac 0.089 0.966 0.675
7 Ac 0.123 0.034 0.209
8 Ac 0.123 0.589 0.914
9 Ac 0.175 0.209 0.586
10 Ac 0.175 0.466 0.589
11 Ac 0.209 0.123 0.034
12 Ac 0.209 0.586 0.175
13 Ac 0.291 0.325 0.914
14 Ac 0.291 0.466 0.377
15 Ac 0.325 0.911 0.034
16 Ac 0.325 0.914 0.291
17 Ac 0.377 0.291 0.466
18 Ac 0.377 0.586 0.911
19 Ac 0.411 0.086 0.877
20 Ac 0.411 0.825 0.534
21 Ac 0.414 0.089 0.623
22 Ac 0.414 0.825 0.791
23 Ac 0.466 0.377 0.291
24 Ac 0.466 0.589 0.175
25 Ac 0.534 0.411 0.825
26 Ac 0.534 0.623 0.709
27 Ac 0.586 0.175 0.209
28 Ac 0.586 0.911 0.377
29 Ac 0.589 0.175 0.466
30 Ac 0.589 0.914 0.123
31 Ac 0.623 0.414 0.089
32 Ac 0.623 0.709 0.534
33 Ac 0.675 0.086 0.709
34 Ac 0.675 0.089 0.966
35 Ac 0.709 0.534 0.623
36 Ac 0.709 0.675 0.086
37 Ac 0.791 0.414 0.825
38 Ac 0.791 0.877 0.966
39 Ac 0.825 0.534 0.411
40 Ac 0.825 0.791 0.414
41 Ac 0.877 0.411 0.086
42 Ac 0.877 0.966 0.791
43 Ac 0.911 0.034 0.325
44 Ac 0.911 0.377 0.586
45 Ac 0.914 0.123 0.589
46 Ac 0.914 0.291 0.325
47 Ac 0.966 0.675 0.089
48 Ac 0.966 0.791 0.877
49 Rh 0.000 0.000 0.000
50 Rh 0.000 0.000 0.500
51 Rh 0.000 0.500 0.000
52 Rh 0.000 0.500 0.500
53 Rh 0.125 0.750 0.875
54 Rh 0.125 0.875 0.250
55 Rh 0.250 0.125 0.875
56 Rh 0.250 0.625 0.375
57 Rh 0.375 0.250 0.625
58 Rh 0.375 0.625 0.750
59 Rh 0.500 0.000 0.000
60 Rh 0.500 0.000 0.500
61 Rh 0.500 0.500 0.000
62 Rh 0.500 0.500 0.500
63 Rh 0.625 0.375 0.250
64 Rh 0.625 0.750 0.375
65 Rh 0.750 0.375 0.625
66 Rh 0.750 0.875 0.125
67 Rh 0.875 0.125 0.750
68 Rh 0.875 0.250 0.125
69 Se 0.125 0.250 0.375
70 Se 0.125 0.375 0.750
71 Se 0.250 0.375 0.125
72 Se 0.250 0.875 0.625
73 Se 0.375 0.125 0.250
74 Se 0.375 0.750 0.125
75 Se 0.625 0.250 0.875
76 Se 0.625 0.875 0.750
77 Se 0.750 0.125 0.375
78 Se 0.750 0.625 0.875
79 Se 0.875 0.625 0.250
80 Se 0.875 0.750 0.625

Summary:
DOS(E_F) ... 0.81 states/eV per atom
Crystal system ... cubic
Calculated density ... 7.836 g/cm3
SG ... No. 230
Formation energy (no corrections) ... -0.6236 eV/atom

***

A plane-wave DFT calculation with GGA-PBE was carried out for an optimized crystal structure of Mg2CrPb.

a = 3.316 Å, b = 4.891 Å, c = 5.473 Å
α = 90.00°, β = 90.00°, γ = 90.00°
Element x y z (fractional)
1 Mg 0.000 0.000 0.000
2 Mg 0.000 0.500 0.328
3 Cr 0.500 0.000 0.479
4 Pb 0.500 0.500 0.807

Summary:
DOS(E_F) ... 0.39 states/eV per atom
Crystal system ... orthorhombic
Calculated density ... 5.758 g/cm3
SG ... No. 25
DFT formation energy ... 0.27 eV/atom

***

A plane-wave DFT calculation with GGA-PBE was carried out for an optimized crystal structure of AlMoHOs2.

a = 3.976 Å, b = 3.976 Å, c = 3.890 Å
α = 90.00°, β = 90.00°, γ = 90.00°
Element x y z (fractional)
1 Al 0.000 0.000 0.000
2 Mo 0.500 0.500 0.000
3 H 0.500 0.500 0.500
4 Os 0.000 0.500 0.500
5 Os 0.500 0.000 0.500

Summary:
DOS(E_F) ... 1.11 states/eV per atom
Crystal system ... tetragonal
Calculated density ... 13.618 g/cm3
SG ... No. 123
Raw total energy ... -7.910 eV per atom

***

A plane-wave DFT calculation with GGA-PBE was carried out for an optimized crystal structure of Dy2Ga4AgPd3.

a = 4.148 Å, b = 4.148 Å, c = 11.045 Å
α = 90.00°, β = 90.00°, γ = 90.00°
Element x y z (fractional)
1 Dy 0.000 0.500 0.238
2 Dy 0.500 0.000 0.762
3 Ga 0.000 0.000 0.000
4 Ga 0.000 0.500 0.641
5 Ga 0.500 0.000 0.359
6 Ga 0.500 0.500 0.000
7 Ag 0.000 0.000 0.500
8 Pd 0.000 0.500 0.864
9 Pd 0.500 0.000 0.136
10 Pd 0.500 0.500 0.500

Summary:
DOS(E_F) ... 0.38 states/eV per atom
Crystal system ... tetragonal
Calculated density ... 9.011 g/cm3
SG ... No. 115
DFT formation energy ... -0.68 eV/atom